Entry 1
Compound: SrTiAg2
Source: the Alexandria database
Functional: PBE
Structure: relaxed

a = 6.5206 Å, b = 6.5206 Å, c = 6.5206 Å
α = 104.26°, β = 104.26°, γ = 120.48°
Closest atoms and distances in Å follow each position.
Sites, in units of the cell vectors:
Sr 0.0000 0.0000 0.0000  8 Ag 3.21-3.54, 2 Ti 3.24
Sr 0.7500 0.2500 0.5000  8 Ag 3.21-3.54, 2 Ti 3.24
Ti 0.2500 0.7500 0.5000  4 Ag 2.70
Ti 0.5000 0.5000 0.0000  4 Ag 2.70
Ag 0.1717 0.6250 0.0467  2 Ti 2.70
Ag 0.3750 0.4217 0.5467  2 Ti 2.70
Ag 0.5783 0.1250 0.9533  2 Ti 2.70
Ag 0.8750 0.8283 0.4533  2 Ti 2.70

Properties
For the density of states at the Fermi level, the calculation gives 12.802 states/eV per cell. The spin magnetization comes out at 4.612 μB/cell. As for the crystal system: tetragonal.

Entry 2
Compound: SrTiAg2
Source: the Alexandria database
Functional: PBE
Structure: relaxed

a = 5.0888 Å, b = 5.0888 Å, c = 5.0888 Å
α = 60.00°, β = 60.00°, γ = 60.00°
Closest atoms and distances in Å follow each position.
Sites, in units of the cell vectors:
Sr 0.0000 0.0000 0.0000  8 Ag 3.12
Ti 0.5000 0.5000 0.5000  8 Ag 3.12
Ag 0.2500 0.2500 0.2500  4 Sr 3.12, 4 Ti 3.12
Ag 0.7500 0.7500 0.7500  4 Sr 3.12, 4 Ti 3.12

Properties
For the density of states at the Fermi level, the calculation gives 3.576 states/eV per cell. The spin magnetization comes out at 0.000 μB/cell. As for the crystal system: cubic.

Most stable of them? entry 2.